[1]
Zr2FeW | PBE | optimized geometry

distance to the lowest polymorph of the same formula	0.000	eV/f.u.
total magnetic moment	0.6	Bohr magnetons per cell

Cell and atoms, written as POSCAR:
```
Zr2FeW
1.0
-1.712 1.564 -2.301
-2.751 -0.540 1.678
0.856 5.710 3.242
Fe W Zr
1 1 2
Direct
0.500 0.500 0.250
0.500 0.500 0.750
0.000 0.000 0.012
0.000 0.000 0.488
```


[2]
Ce2TmTh6 | PBE | optimized geometry

distance to the lowest polymorph of the same formula	0.000	eV/f.u.
total magnetic moment	0.0	Bohr magnetons per cell

Cell and atoms, written as POSCAR:
```
Ce2TmTh6
1.0
3.480 0.000 0.000
0.000 8.365 -4.830
0.000 0.000 9.659
Ce Th Tm
2 6 1
Direct
0.260 0.667 0.333
0.740 0.333 0.667
0.231 0.023 0.347
0.769 0.977 0.653
0.231 0.324 0.977
0.769 0.676 0.023
0.769 0.347 0.324
0.231 0.653 0.676
0.500 0.000 0.000
```


[3]
La2ReTeIr | PBE | optimized geometry

distance to the lowest polymorph of the same formula	0.000	eV/f.u.
energy relative to the elements, uncorrected	-0.6	eV/f.u.
total magnetic moment	1.2	Bohr magnetons per cell

Cell and atoms, written as POSCAR:
```
La2ReTeIr
1.0
-1.267 5.041 2.457
-4.035 0.116 -2.318
-2.572 -2.760 4.338
Re La Ir Te
1 2 1 1
Direct
0.000 0.500 0.000
0.500 0.000 0.000
0.000 0.000 0.500
0.000 0.000 0.000
0.500 0.500 0.500
```


[4]
YGaSe2N | PBE | optimized geometry

distance to the lowest polymorph of the same formula	0.000	eV/f.u.
energy relative to the elements, uncorrected	-1.4	eV/f.u.
total magnetic moment	1.1	Bohr magnetons per cell

Cell and atoms, written as POSCAR:
```
YGaSe2N
1.0
5.122 0.000 0.000
0.000 5.122 0.000
0.000 0.000 3.791
Y Se N Ga
1 2 1 1
Direct
0.500 0.500 0.500
0.500 0.000 0.000
0.000 0.500 0.000
0.000 0.000 0.500
0.000 0.000 0.000
```